(1)
Density functional theory data (PBE) for CaRePt after structural relaxation.

Summary:
**Space-group type**: F-43m (216)
**E_form**: 1.44 eV per atom
**DFT total energy**: -16.2 eV/cell

```
data_CaRePt
_space_group_name_H-M_alt 'P 1'
_space_group_IT_number 1
_space_group_name_Hall 'P 1'
_cell_length_a 4.559
_cell_length_b 4.559
_cell_length_c 4.559
_cell_angle_alpha 60.00
_cell_angle_beta 60.00
_cell_angle_gamma 60.00
loop_
_atom_site_label
_atom_site_type_symbol
_atom_site_fract_x
_atom_site_fract_y
_atom_site_fract_z
_atom_site_occupancy
Re1 Re 0.500 0.500 0.500 1
Ca1 Ca 0.750 0.750 0.750 1
Pt1 Pt 0.000 0.000 0.000 1
```

(2)
Density functional theory data (PBE) for BeAs2Pt after structural relaxation.

Summary:
**Space-group type**: Immm (71)
**E_form**: -0.12 eV per atom
**DFT total energy**: -19.5 eV/cell

```
data_BeAs2Pt
_space_group_name_H-M_alt 'P 1'
_space_group_IT_number 1
_space_group_name_Hall 'P 1'
_cell_length_a 6.578
_cell_length_b 6.578
_cell_length_c 6.578
_cell_angle_alpha 146.75
_cell_angle_beta 153.96
_cell_angle_gamma 42.71
loop_
_atom_site_label
_atom_site_type_symbol
_atom_site_fract_x
_atom_site_fract_y
_atom_site_fract_z
_atom_site_occupancy
Be1 Be 0.750 0.250 0.500 1
As1 As 0.097 0.097 0.000 1
As2 As 0.403 0.403 0.000 1
Pt1 Pt 0.250 0.750 0.500 1
```

(3)
Density functional theory data (PBE) for VP3 after structural relaxation.

Summary:
**Space-group type**: Imm2 (44)
**E_form**: -0.37 eV per atom
**DFT total energy**: -26.8 eV/cell

```
data_VP3
_space_group_name_H-M_alt 'P 1'
_space_group_IT_number 1
_space_group_name_Hall 'P 1'
_cell_length_a 3.116
_cell_length_b 4.853
_cell_length_c 4.726
_cell_angle_alpha 120.89
_cell_angle_beta 109.25
_cell_angle_gamma 90.00
loop_
_atom_site_label
_atom_site_type_symbol
_atom_site_fract_x
_atom_site_fract_y
_atom_site_fract_z
_atom_site_occupancy
P1 P 0.313 0.616 0.626 1
P2 P 0.500 0.465 0.000 1
P3 P 0.687 0.990 0.374 1
V1 V 0.000 0.096 0.000 1
```

(4)
Density functional theory data (PBE) for AgSn3As after structural relaxation.

Summary:
**Space-group type**: Pm-3m (221)
**E_form**: 0.54 eV per atom
**DFT total energy**: -16.8 eV/cell

```
data_AgSn3As
_space_group_name_H-M_alt 'P 1'
_space_group_IT_number 1
_space_group_name_Hall 'P 1'
_cell_length_a 5.302
_cell_length_b 5.302
_cell_length_c 5.302
_cell_angle_alpha 90.00
_cell_angle_beta 90.00
_cell_angle_gamma 90.00
loop_
_atom_site_label
_atom_site_type_symbol
_atom_site_fract_x
_atom_site_fract_y
_atom_site_fract_z
_atom_site_occupancy
As1 As 0.500 0.500 0.500 1
Sn1 Sn 0.000 0.500 0.000 1
Sn2 Sn 0.000 0.000 0.500 1
Sn3 Sn 0.500 0.000 0.000 1
Ag1 Ag 0.000 0.000 0.000 1
```

(5)
Density functional theory data (PBE) for Zr3CrRu after structural relaxation.

Summary:
**Space-group type**: Pm-3m (221)
**E_form**: 0.59 eV per atom
**DFT total energy**: -41.6 eV/cell

```
data_Zr3CrRu
_space_group_name_H-M_alt 'P 1'
_space_group_IT_number 1
_space_group_name_Hall 'P 1'
_cell_length_a 5.010
_cell_length_b 5.010
_cell_length_c 5.010
_cell_angle_alpha 90.00
_cell_angle_beta 90.00
_cell_angle_gamma 90.00
loop_
_atom_site_label
_atom_site_type_symbol
_atom_site_fract_x
_atom_site_fract_y
_atom_site_fract_z
_atom_site_occupancy
Ru1 Ru 0.000 0.000 0.000 1
Zr1 Zr 0.000 0.500 0.000 1
Zr2 Zr 0.000 0.000 0.500 1
Zr3 Zr 0.500 0.000 0.000 1
Cr1 Cr 0.500 0.500 0.500 1
```

(6)
Density functional theory data (PBE) for AlTe2Se after structural relaxation.

Summary:
**Formation energy from raw total energies**: -0.67 eV/f.u.
**Space-group type**: Cm (8)
**DFT total energy**: -14.2 eV/cell

```
data_AlTe2Se
_space_group_name_H-M_alt 'P 1'
_space_group_IT_number 1
_space_group_name_Hall 'P 1'
_cell_length_a 6.197
_cell_length_b 6.197
_cell_length_c 5.990
_cell_angle_alpha 79.71
_cell_angle_beta 79.71
_cell_angle_gamma 32.34
loop_
_atom_site_label
_atom_site_type_symbol
_atom_site_fract_x
_atom_site_fract_y
_atom_site_fract_z
_atom_site_occupancy
Te1 Te 0.013 0.013 0.035 1
Te2 Te 0.166 0.166 0.357 1
Al1 Al 0.465 0.465 0.439 1
Se1 Se 0.855 0.855 0.669 1
```

(7)
Density functional theory data (PBE) for Tl2Te2Au after structural relaxation.

Summary:
**Formation energy from raw total energies**: -0.26 eV/f.u.
**Space-group type**: Fddd (70)
**DFT total energy**: -29.1 eV/cell

```
data_Tl2Te2Au
_space_group_name_H-M_alt 'P 1'
_space_group_IT_number 1
_space_group_name_Hall 'P 1'
_cell_length_a 8.201
_cell_length_b 8.201
_cell_length_c 8.329
_cell_angle_alpha 100.61
_cell_angle_beta 100.61
_cell_angle_gamma 128.75
loop_
_atom_site_label
_atom_site_type_symbol
_atom_site_fract_x
_atom_site_fract_y
_atom_site_fract_z
_atom_site_occupancy
Tl1 Tl 0.447 0.553 0.500 1
Tl2 Tl 0.197 0.803 0.000 1
Tl3 Tl 0.053 0.947 0.500 1
Tl4 Tl 0.803 0.197 0.000 1
Te1 Te 0.125 0.375 0.750 1
Te2 Te 0.625 0.375 0.250 1
Te3 Te 0.625 0.375 0.750 1
Te4 Te 0.625 0.875 0.250 1
Au1 Au 0.750 0.250 0.500 1
Au2 Au 0.500 0.500 0.000 1
```

(8)
Density functional theory data (PBE) for Zn4CdSe5 after structural relaxation.

Summary:
**Formation energy from raw total energies**: -6.76 eV/f.u.
**Space-group type**: P3m1 (156)
**DFT total energy**: -60.4 eV/cell

```
data_Zn4CdSe5
_space_group_name_H-M_alt 'P 1'
_space_group_IT_number 1
_space_group_name_Hall 'P 1'
_cell_length_a 4.108
_cell_length_b 4.108
_cell_length_c 33.914
_cell_angle_alpha 90.00
_cell_angle_beta 90.00
_cell_angle_gamma 120.00
loop_
_atom_site_label
_atom_site_type_symbol
_atom_site_fract_x
_atom_site_fract_y
_atom_site_fract_z
_atom_site_occupancy
Zn1 Zn 0.333 0.667 0.505 1
Zn2 Zn 0.333 0.667 0.700 1
Zn3 Zn 0.333 0.667 0.894 1
Zn4 Zn 0.667 0.333 0.992 1
Zn5 Zn 0.667 0.333 0.200 1
Zn6 Zn 0.667 0.333 0.408 1
Zn7 Zn 0.667 0.333 0.603 1
Zn8 Zn 0.667 0.333 0.797 1
Cd1 Cd 0.333 0.667 0.094 1
Cd2 Cd 0.333 0.667 0.302 1
Se1 Se 0.333 0.667 0.015 1
Se2 Se 0.333 0.667 0.224 1
Se3 Se 0.333 0.667 0.432 1
Se4 Se 0.333 0.667 0.626 1
Se5 Se 0.333 0.667 0.821 1
Se6 Se 0.667 0.333 0.127 1
Se7 Se 0.667 0.333 0.335 1
Se8 Se 0.667 0.333 0.529 1
Se9 Se 0.667 0.333 0.724 1
Se10 Se 0.667 0.333 0.918 1
```

(9)
Density functional theory data (PBE) for Sr2RePt after structural relaxation.

Summary:
**Space-group type**: P4/mmm (123)
**E_form**: 0.52 eV per atom
**DFT total energy**: -19.8 eV/cell

```
data_Sr2RePt
_space_group_name_H-M_alt 'P 1'
_space_group_IT_number 1
_space_group_name_Hall 'P 1'
_cell_length_a 3.238
_cell_length_b 3.238
_cell_length_c 8.993
_cell_angle_alpha 90.00
_cell_angle_beta 90.00
_cell_angle_gamma 90.00
loop_
_atom_site_label
_atom_site_type_symbol
_atom_site_fract_x
_atom_site_fract_y
_atom_site_fract_z
_atom_site_occupancy
Pt1 Pt 0.500 0.500 0.250 1
Re1 Re 0.500 0.500 0.750 1
Sr1 Sr 0.000 0.000 0.015 1
Sr2 Sr 0.000 0.000 0.485 1
```

(10)
Density functional theory data (PBE) for CePm2InC after structural relaxation.

Summary:
**Space-group type**: P4/mmm (123)
**E_form**: -0.35 eV per atom
**DFT total energy**: -29.1 eV/cell

```
data_CePm2InC
_space_group_name_H-M_alt 'P 1'
_space_group_IT_number 1
_space_group_name_Hall 'P 1'
_cell_length_a 4.900
_cell_length_b 5.130
_cell_length_c 5.130
_cell_angle_alpha 90.00
_cell_angle_beta 90.00
_cell_angle_gamma 90.00
loop_
_atom_site_label
_atom_site_type_symbol
_atom_site_fract_x
_atom_site_fract_y
_atom_site_fract_z
_atom_site_occupancy
Ce1 Ce 0.500 0.000 0.000 1
Pm1 Pm 0.000 0.000 0.500 1
Pm2 Pm 0.000 0.500 0.000 1
In1 In 0.500 0.500 0.500 1
C1 C 0.000 0.000 0.000 1
```

(11)
Density functional theory data (PBE) for Li2LaCu after structural relaxation.

Summary:
**Space-group type**: C2/m (12)
**E_form**: 0.03 eV per atom
**DFT total energy**: -12.7 eV/cell

```
data_Li2LaCu
_space_group_name_H-M_alt 'P 1'
_space_group_IT_number 1
_space_group_name_Hall 'P 1'
_cell_length_a 5.859
_cell_length_b 5.859
_cell_length_c 5.079
_cell_angle_alpha 69.57
_cell_angle_beta 69.57
_cell_angle_gamma 32.59
loop_
_atom_site_label
_atom_site_type_symbol
_atom_site_fract_x
_atom_site_fract_y
_atom_site_fract_z
_atom_site_occupancy
Cu1 Cu 0.250 0.250 0.250 1
La1 La 0.750 0.750 0.750 1
Li1 Li 0.956 0.956 0.056 1
Li2 Li 0.544 0.544 0.444 1
```

(12)
Density functional theory data (PBE) for GaAu2C after structural relaxation.

Summary:
**Space-group type**: I-42d (122)
**E_form**: 0.77 eV per atom
**DFT total energy**: -31.4 eV/cell

```
data_GaAu2C
_space_group_name_H-M_alt 'P 1'
_space_group_IT_number 1
_space_group_name_Hall 'P 1'
_cell_length_a 5.071
_cell_length_b 5.071
_cell_length_c 6.986
_cell_angle_alpha 68.72
_cell_angle_beta 68.72
_cell_angle_gamma 90.00
loop_
_atom_site_label
_atom_site_type_symbol
_atom_site_fract_x
_atom_site_fract_y
_atom_site_fract_z
_atom_site_occupancy
C1 C 0.500 0.500 0.000 1
C2 C 0.250 0.750 0.500 1
Au1 Au 0.525 0.125 0.250 1
Au2 Au 0.225 0.625 0.250 1
Au3 Au 0.375 0.475 0.750 1
Au4 Au 0.875 0.775 0.750 1
Ga1 Ga 0.000 0.000 0.000 1
Ga2 Ga 0.750 0.250 0.500 1
```

(13)
Density functional theory data (PBE) for Sc2FePt after structural relaxation.

Summary:
**Space-group type**: R-3m (166)
**E_form**: 0.01 eV per atom
**DFT total energy**: -27.1 eV/cell

```
data_Sc2FePt
_space_group_name_H-M_alt 'P 1'
_space_group_IT_number 1
_space_group_name_Hall 'P 1'
_cell_length_a 9.047
_cell_length_b 9.047
_cell_length_c 9.047
_cell_angle_alpha 19.31
_cell_angle_beta 19.31
_cell_angle_gamma 19.31
loop_
_atom_site_label
_atom_site_type_symbol
_atom_site_fract_x
_atom_site_fract_y
_atom_site_fract_z
_atom_site_occupancy
Sc1 Sc 0.904 0.904 0.904 1
Sc2 Sc 0.096 0.096 0.096 1
Fe1 Fe 0.500 0.500 0.500 1
Pt1 Pt 0.000 0.000 0.000 1
```

(14)
Density functional theory data (PBE) for Sm6BiO12 after structural relaxation.

Summary:
**Formation energy from raw total energies**: -55.22 eV/f.u.
**Space-group type**: R-3 (148)
**DFT total energy**: -146.9 eV/cell

```
data_Sm6BiO12
_space_group_name_H-M_alt 'P 1'
_space_group_IT_number 1
_space_group_name_Hall 'P 1'
_cell_length_a 6.723
_cell_length_b 6.723
_cell_length_c 6.723
_cell_angle_alpha 98.93
_cell_angle_beta 98.93
_cell_angle_gamma 98.93
loop_
_atom_site_label
_atom_site_type_symbol
_atom_site_fract_x
_atom_site_fract_y
_atom_site_fract_z
_atom_site_occupancy
Sm1 Sm 0.141 0.304 0.610 1
Sm2 Sm 0.696 0.390 0.859 1
Sm3 Sm 0.390 0.859 0.696 1
Sm4 Sm 0.859 0.696 0.390 1
Sm5 Sm 0.304 0.610 0.141 1
Sm6 Sm 0.610 0.141 0.304 1
Bi1 Bi 0.000 0.000 0.000 1
O1 O 0.437 0.178 0.587 1
O2 O 0.178 0.587 0.437 1
O3 O 0.587 0.437 0.178 1
O4 O 0.563 0.822 0.413 1
O5 O 0.822 0.413 0.563 1
O6 O 0.413 0.563 0.822 1
O7 O 0.048 0.933 0.689 1
O8 O 0.311 0.952 0.067 1
O9 O 0.067 0.311 0.952 1
O10 O 0.952 0.067 0.311 1
O11 O 0.689 0.048 0.933 1
O12 O 0.933 0.689 0.048 1
```

(15)
Density functional theory data (PBE) for TlTeF5 after structural relaxation.

Summary:
**Formation energy from raw total energies**: -14.81 eV/f.u.
**Space-group type**: Pnma (62)
**DFT total energy**: -118.7 eV/cell

```
data_TlTeF5
_space_group_name_H-M_alt 'P 1'
_space_group_IT_number 1
_space_group_name_Hall 'P 1'
_cell_length_a 5.062
_cell_length_b 6.205
_cell_length_c 17.113
_cell_angle_alpha 90.00
_cell_angle_beta 90.00
_cell_angle_gamma 90.00
loop_
_atom_site_label
_atom_site_type_symbol
_atom_site_fract_x
_atom_site_fract_y
_atom_site_fract_z
_atom_site_occupancy
Tl1 Tl 0.213 0.250 0.068 1
Tl2 Tl 0.713 0.750 0.432 1
Tl3 Tl 0.787 0.750 0.932 1
Tl4 Tl 0.287 0.250 0.568 1
Te1 Te 0.398 0.250 0.835 1
Te2 Te 0.898 0.750 0.665 1
Te3 Te 0.602 0.750 0.165 1
Te4 Te 0.102 0.250 0.335 1
F1 F 0.636 0.250 0.924 1
F2 F 0.136 0.750 0.576 1
F3 F 0.364 0.750 0.076 1
F4 F 0.864 0.250 0.424 1
F5 F 0.228 0.022 0.904 1
F6 F 0.728 0.978 0.596 1
F7 F 0.772 0.522 0.096 1
F8 F 0.272 0.478 0.404 1
F9 F 0.772 0.978 0.096 1
F10 F 0.272 0.022 0.404 1
F11 F 0.228 0.478 0.904 1
F12 F 0.728 0.522 0.596 1
F13 F 0.655 0.024 0.800 1
F14 F 0.155 0.976 0.700 1
F15 F 0.345 0.524 0.200 1
F16 F 0.845 0.476 0.300 1
F17 F 0.345 0.976 0.200 1
F18 F 0.845 0.024 0.300 1
F19 F 0.655 0.476 0.800 1
F20 F 0.155 0.524 0.700 1
```

(16)
Density functional theory data (PBE) for BeTlMo2 after structural relaxation.

Summary:
**Space-group type**: I-42d (122)
**E_form**: 0.84 eV per atom
**DFT total energy**: -48.8 eV/cell

```
data_BeTlMo2
_space_group_name_H-M_alt 'P 1'
_space_group_IT_number 1
_space_group_name_Hall 'P 1'
_cell_length_a 3.766
_cell_length_b 3.766
_cell_length_c 10.138
_cell_angle_alpha 79.29
_cell_angle_beta 79.29
_cell_angle_gamma 90.00
loop_
_atom_site_label
_atom_site_type_symbol
_atom_site_fract_x
_atom_site_fract_y
_atom_site_fract_z
_atom_site_occupancy
Be1 Be 0.500 0.500 0.000 1
Be2 Be 0.250 0.750 0.500 1
Tl1 Tl 0.000 0.000 0.000 1
Tl2 Tl 0.750 0.250 0.500 1
Mo1 Mo 0.594 0.125 0.250 1
Mo2 Mo 0.156 0.625 0.250 1
Mo3 Mo 0.375 0.406 0.750 1
Mo4 Mo 0.875 0.844 0.750 1
```

(17)
Density functional theory data (PBE) for Hg2PtAu after structural relaxation.

Summary:
**Space-group type**: R-3m (166)
**E_form**: 0.10 eV per atom
**DFT total energy**: -9.5 eV/cell

```
data_Hg2PtAu
_space_group_name_H-M_alt 'P 1'
_space_group_IT_number 1
_space_group_name_Hall 'P 1'
_cell_length_a 9.429
_cell_length_b 9.429
_cell_length_c 9.429
_cell_angle_alpha 18.98
_cell_angle_beta 18.98
_cell_angle_gamma 18.98
loop_
_atom_site_label
_atom_site_type_symbol
_atom_site_fract_x
_atom_site_fract_y
_atom_site_fract_z
_atom_site_occupancy
Au1 Au 0.750 0.750 0.750 1
Hg1 Hg 0.997 0.997 0.997 1
Hg2 Hg 0.503 0.503 0.503 1
Pt1 Pt 0.250 0.250 0.250 1
```

(18)
Density functional theory data (PBE) for Zn2Te after structural relaxation.

Summary:
**Formation energy from raw total energies**: 0.04 eV/f.u.
**Space-group type**: I4/mcm (140)
**DFT total energy**: -11.3 eV/cell

```
data_Zn2Te
_space_group_name_H-M_alt 'P 1'
_space_group_IT_number 1
_space_group_name_Hall 'P 1'
_cell_length_a 5.732
_cell_length_b 5.732
_cell_length_c 5.732
_cell_angle_alpha 120.25
_cell_angle_beta 120.25
_cell_angle_gamma 89.58
loop_
_atom_site_label
_atom_site_type_symbol
_atom_site_fract_x
_atom_site_fract_y
_atom_site_fract_z
_atom_site_occupancy
Zn1 Zn 0.841 0.341 0.181 1
Zn2 Zn 0.159 0.659 0.819 1
Zn3 Zn 0.341 0.159 0.500 1
Zn4 Zn 0.659 0.841 0.500 1
Te1 Te 0.750 0.750 0.000 1
Te2 Te 0.250 0.250 0.000 1
```